1 | First-principles (PBE) data for CaCuTc after structural relaxation, as listed in Alexandria via LeMat-Bulk.

abc: 6.352 6.352 6.352
angles: 90.00 90.00 90.00
Space group F-43m (No. 216)
Symmetry-distinct sites (fractional):
Ca1 0.000 0.000 0.000
Cu1 0.250 0.250 0.250
Tc1 0.000 0.000 0.500

Computed properties:
The value obtained for the total magnetic moment is 10.16 μB/cell.

---

2 | First-principles (PBE) data for CaCuTc after structural relaxation, as listed in Alexandria via LeMat-Bulk.

abc: 6.496 6.496 6.496
angles: 90.00 90.00 90.00
Space group F-43m (No. 216)
Symmetry-distinct sites (fractional):
Ca1 0.000 0.000 0.000
Cu1 0.250 0.250 0.750
Tc1 0.250 0.250 0.250

Computed properties:
The value obtained for the total magnetic moment is 11.18 μB/cell.

---

3 | First-principles (PBE) data for CaCuTc after structural relaxation, as listed in Alexandria via LeMat-Bulk.

abc: 4.7534 4.7534 2.6880
angles: 90.00 90.00 120.00
Space group P3m1 (No. 156)
Symmetry-distinct sites (fractional):
Ca1 0.0000 0.0000 0.0000
Cu1 0.6667 0.3333 0.4981
Tc1 0.3333 0.6667 0.5003

Computed properties:
The value obtained for the total magnetic moment is 0.00 μB/cell.

---

The most stable of them is 3.

---

1 | First-principles (PBE) data for Ca2CuTc after structural relaxation, as listed in Alexandria via LeMat-Bulk.

abc: 4.658 4.658 8.003
angles: 90.00 90.00 90.00
Space group I4/mmm (No. 139)
Symmetry-distinct sites (fractional):
Ca1 0.000 0.500 0.250
Cu1 0.000 0.000 0.000
Tc1 0.000 0.000 0.500

Computed properties:
The value obtained for the total magnetic moment is 2.73 μB/cell.

---

2 | First-principles (PBE) data for Ca2CuTc after structural relaxation, as listed in Alexandria via LeMat-Bulk.

abc: 11.177 3.058 5.331
angles: 90.00 109.24 90.00
Space group Cm (No. 8)
Symmetry-distinct sites (fractional):
Ca1 0.000 0.000 0.000
Ca2 0.198 0.000 0.624
Cu1 0.439 0.000 0.464
Tc1 0.266 0.500 0.169

Computed properties:
The value obtained for the total magnetic moment is 0.00 μB/cell.

---

The most stable of them is 2.